Version i
A geometry-optimized CsScSi3 structure, computed with PBE.

Properties
Space group: No. 221

a = 5.2584 Å, b = 5.2584 Å, c = 5.2584 Å
α = 90.00°, β = 90.00°, γ = 90.00°
Element x y z (fractional)
Cs 0.0000 0.0000 0.0000
Sc 0.5000 0.5000 0.5000
Si 0.0000 0.5000 0.5000
Si 0.5000 0.0000 0.5000
Si 0.5000 0.5000 0.0000

***

Version ii
A geometry-optimized CsScSi3 structure, computed with PBE.

Properties
Space group: No. 221

a = 5.3188 Å, b = 5.3188 Å, c = 5.3188 Å
α = 90.00°, β = 90.00°, γ = 90.00°
Element x y z (fractional)
Cs 0.0000 0.0000 0.0000
Sc 0.5000 0.5000 0.5000
Si 0.0000 0.0000 0.5000
Si 0.0000 0.5000 0.0000
Si 0.5000 0.0000 0.0000

***

Stability check: which of them is least stable? version ii.

***

Version i
A geometry-optimized CsScSn2 structure, computed with PBE.

Properties
Space group: No. 123

a = 3.9196 Å, b = 3.9196 Å, c = 8.5153 Å
α = 90.00°, β = 90.00°, γ = 90.00°
Element x y z (fractional)
Cs 0.0000 0.0000 0.0000
Sc 0.0000 0.0000 0.5000
Sn 0.5000 0.5000 0.3306
Sn 0.5000 0.5000 0.6694

***

Version ii
A geometry-optimized CsScSn2 structure, computed with PBE.

Properties
Space group: No. 225

a = 5.6286 Å, b = 5.6286 Å, c = 5.6286 Å
α = 60.00°, β = 60.00°, γ = 60.00°
Element x y z (fractional)
Cs 0.0000 0.0000 0.0000
Sc 0.5000 0.5000 0.5000
Sn 0.2500 0.2500 0.2500
Sn 0.7500 0.7500 0.7500

***

Stability check: which of them is least stable? version ii.

***

Version i
A geometry-optimized CsSrSc2 structure, computed with PBE.

Properties
Space group: No. 166

a = 13.3802 Å, b = 13.3802 Å, c = 13.3802 Å
α = 15.40°, β = 15.40°, γ = 15.40°
Element x y z (fractional)
Cs 0.0000 0.0000 0.0000
Sr 0.5000 0.5000 0.5000
Sc 0.0889 0.0889 0.0889
Sc 0.9111 0.9111 0.9111

***

Version ii
A geometry-optimized CsSrSc2 structure, computed with PBE.

Properties
Space group: No. 122

a = 7.4507 Å, b = 7.4507 Å, c = 7.4507 Å
α = 101.79°, β = 101.79°, γ = 126.26°
Element x y z (fractional)
Cs 0.0000 0.0000 0.0000
Cs 0.7500 0.2500 0.5000
Sr 0.2500 0.7500 0.5000
Sr 0.5000 0.5000 0.0000
Sc 0.1012 0.1250 0.4762
Sc 0.3750 0.8988 0.0238
Sc 0.6488 0.6250 0.5238
Sc 0.8750 0.3512 0.9762

***

Stability check: which of them is least stable? version ii.

***

Version i
A geometry-optimized CsSc2Ta structure, computed with PBE.

Properties
Space group: No. 225

a = 5.2549 Å, b = 5.2549 Å, c = 5.2549 Å
α = 60.00°, β = 60.00°, γ = 60.00°
Element x y z (fractional)
Cs 0.0000 0.0000 0.0000
Sc 0.2500 0.2500 0.2500
Sc 0.7500 0.7500 0.7500
Ta 0.5000 0.5000 0.5000

***

Version ii
A geometry-optimized CsSc2Ta structure, computed with PBE.

Properties
Space group: No. 166

a = 11.8131 Å, b = 11.8131 Å, c = 11.8131 Å
α = 16.01°, β = 16.01°, γ = 16.01°
Element x y z (fractional)
Cs 0.0000 0.0000 0.0000
Sc 0.1002 0.1002 0.1002
Sc 0.8998 0.8998 0.8998
Ta 0.5000 0.5000 0.5000

***

Stability check: which of them is least stable? version i.

***

Version i
A geometry-optimized CsScTc3 structure, computed with PBE.

Properties
Space group: No. 221

a = 5.0004 Å, b = 5.0004 Å, c = 5.0004 Å
α = 90.00°, β = 90.00°, γ = 90.00°
Element x y z (fractional)
Cs 0.0000 0.0000 0.0000
Sc 0.5000 0.5000 0.5000
Tc 0.0000 0.5000 0.5000
Tc 0.5000 0.0000 0.5000
Tc 0.5000 0.5000 0.0000

***

Version ii
A geometry-optimized CsScTc3 structure, computed with PBE.

Properties
Space group: No. 221

a = 4.8502 Å, b = 4.8502 Å, c = 4.8502 Å
α = 90.00°, β = 90.00°, γ = 90.00°
Element x y z (fractional)
Cs 0.0000 0.0000 0.0000
Sc 0.5000 0.5000 0.5000
Tc 0.0000 0.0000 0.5000
Tc 0.0000 0.5000 0.0000
Tc 0.5000 0.0000 0.0000

***

Stability check: which of them is least stable? version ii.

***

Version i
A geometry-optimized CsSc2Te4 structure, computed with PBE.

Properties
Space group: No. 1

a = 7.8516 Å, b = 8.3413 Å, c = 9.0524 Å
α = 105.14°, β = 97.94°, γ = 107.27°
Element x y z (fractional)
Cs 0.0000 0.0000 0.0000
Cs 0.1554 0.5067 0.9359
Sc 0.0038 0.7539 0.4646
Sc 0.5478 0.7414 0.4797
Sc 0.6115 0.3728 0.1177
Sc 0.6305 0.2286 0.4785
Te 0.3104 0.8850 0.3224
Te 0.3402 0.8537 0.7374
Te 0.3711 0.3562 0.3138
Te 0.4874 0.2192 0.7725
Te 0.7204 0.7302 0.1965
Te 0.7669 0.5963 0.6725
Te 0.8771 0.0549 0.5974
Te 0.9084 0.3600 0.3071

***

Version ii
A geometry-optimized CsSc2Te4 structure, computed with PBE.

Properties
Space group: No. 12

a = 10.3468 Å, b = 10.3468 Å, c = 6.9106 Å
α = 108.30°, β = 108.30°, γ = 23.05°
Element x y z (fractional)
Cs 0.0000 0.0000 0.0000
Sc 0.2503 0.2503 0.2549
Sc 0.7497 0.7497 0.7451
Te 0.1574 0.1574 0.5017
Te 0.3404 0.3404 0.0012
Te 0.6596 0.6596 0.9988
Te 0.8426 0.8426 0.4983

***

Stability check: which of them is least stable? version i.

***

Version i
A geometry-optimized CsScTe3 structure, computed with PBE.

Properties
Space group: No. 15

a = 7.1796 Å, b = 7.1796 Å, c = 8.3359 Å
α = 97.15°, β = 97.15°, γ = 102.47°
Element x y z (fractional)
Cs 0.1810 0.8190 0.7500
Cs 0.8190 0.1810 0.2500
Sc 0.4109 0.5891 0.2500
Sc 0.5891 0.4109 0.7500
Te 0.1568 0.8432 0.2500
Te 0.2706 0.3708 0.9277
Te 0.3708 0.2706 0.4277
Te 0.6292 0.7294 0.5723
Te 0.7294 0.6292 0.0723
Te 0.8432 0.1568 0.7500

***

Version ii
A geometry-optimized CsScTe3 structure, computed with PBE.

Properties
Space group: No. 221

a = 5.7096 Å, b = 5.7096 Å, c = 5.7096 Å
α = 90.00°, β = 90.00°, γ = 90.00°
Element x y z (fractional)
Cs 0.0000 0.0000 0.0000
Sc 0.5000 0.5000 0.5000
Te 0.0000 0.5000 0.5000
Te 0.5000 0.0000 0.5000
Te 0.5000 0.5000 0.0000

***

Version iii
A geometry-optimized CsScTe3 structure, computed with PBE.

Properties
Space group: No. 221

a = 6.1282 Å, b = 6.1282 Å, c = 6.1282 Å
α = 90.00°, β = 90.00°, γ = 90.00°
Element x y z (fractional)
Cs 0.0000 0.0000 0.0000
Sc 0.5000 0.5000 0.5000
Te 0.0000 0.0000 0.5000
Te 0.0000 0.5000 0.0000
Te 0.5000 0.0000 0.0000

***

Stability check: which of them is least stable? version iii.

***

Version i
A geometry-optimized Cs2ScTe structure, computed with PBE.

Properties
Space group: No. 225

a = 6.4342 Å, b = 6.4342 Å, c = 6.4342 Å
α = 60.00°, β = 60.00°, γ = 60.00°
Element x y z (fractional)
Cs 0.2500 0.2500 0.2500
Cs 0.7500 0.7500 0.7500
Sc 0.0000 0.0000 0.0000
Te 0.5000 0.5000 0.5000

***

Version ii
A geometry-optimized Cs2ScTe structure, computed with PBE.

Properties
Space group: No. 122

a = 10.5202 Å, b = 10.5202 Å, c = 10.5202 Å
α = 94.03°, β = 94.03°, γ = 149.24°
Element x y z (fractional)
Cs 0.3750 0.2136 0.3386
Cs 0.7864 0.1250 0.1614
Cs 0.8750 0.0364 0.6614
Cs 0.9636 0.6250 0.8386
Sc 0.2500 0.7500 0.5000
Sc 0.5000 0.5000 0.0000
Te 0.0000 0.0000 0.0000
Te 0.7500 0.2500 0.5000

***

Stability check: which of them is least stable? version i.

***

Version i
A geometry-optimized CsScTi3 structure, computed with PBE.

Properties
Space group: No. 221

a = 4.9641 Å, b = 4.9641 Å, c = 4.9641 Å
α = 90.00°, β = 90.00°, γ = 90.00°
Element x y z (fractional)
Cs 0.0000 0.0000 0.0000
Sc 0.5000 0.5000 0.5000
Ti 0.0000 0.0000 0.5000
Ti 0.0000 0.5000 0.0000
Ti 0.5000 0.0000 0.0000

***

Version ii
A geometry-optimized CsScTi3 structure, computed with PBE.

Properties
Space group: No. 221

a = 5.2306 Å, b = 5.2306 Å, c = 5.2306 Å
α = 90.00°, β = 90.00°, γ = 90.00°
Element x y z (fractional)
Cs 0.0000 0.0000 0.0000
Sc 0.5000 0.5000 0.5000
Ti 0.0000 0.5000 0.5000
Ti 0.5000 0.0000 0.5000
Ti 0.5000 0.5000 0.0000

***

Stability check: which of them is least stable? version i.

***

Version i
A geometry-optimized CsSc3Tl structure, computed with PBE.

Properties
Space group: No. 221

a = 5.3005 Å, b = 5.3005 Å, c = 5.3005 Å
α = 90.00°, β = 90.00°, γ = 90.00°
Element x y z (fractional)
Cs 0.0000 0.0000 0.0000
Sc 0.0000 0.0000 0.5000
Sc 0.0000 0.5000 0.0000
Sc 0.5000 0.0000 0.0000
Tl 0.5000 0.5000 0.5000

***

Version ii
A geometry-optimized CsSc3Tl structure, computed with PBE.

Properties
Space group: No. 221

a = 5.6507 Å, b = 5.6507 Å, c = 5.6507 Å
α = 90.00°, β = 90.00°, γ = 90.00°
Element x y z (fractional)
Cs 0.0000 0.0000 0.0000
Sc 0.0000 0.5000 0.5000
Sc 0.5000 0.0000 0.5000
Sc 0.5000 0.5000 0.0000
Tl 0.5000 0.5000 0.5000

***

Stability check: which of them is least stable? version i.

***

Version i
A geometry-optimized CsSc2Tl2 structure, computed with PBE.

Properties
Space group: No. 139

a = 6.9649 Å, b = 6.9649 Å, c = 6.9649 Å
α = 134.71°, β = 134.71°, γ = 65.98°
Element x y z (fractional)
Cs 0.0000 0.0000 0.0000
Sc 0.2500 0.7500 0.5000
Sc 0.7500 0.2500 0.5000
Tl 0.3689 0.3689 0.0000
Tl 0.6311 0.6311 0.0000

***

Version ii
A geometry-optimized CsSc2Tl2 structure, computed with PBE.

Properties
Space group: No. 127

a = 9.3518 Å, b = 9.3518 Å, c = 3.3302 Å
α = 90.00°, β = 90.00°, γ = 90.00°
Element x y z (fractional)
Cs 0.0000 0.0000 0.0000
Cs 0.5000 0.5000 0.0000
Sc 0.1225 0.3775 0.0000
Sc 0.3775 0.8775 0.0000
Sc 0.6225 0.1225 0.0000
Sc 0.8775 0.6225 0.0000
Tl 0.1700 0.6700 0.5000
Tl 0.3300 0.1700 0.5000
Tl 0.6700 0.8300 0.5000
Tl 0.8300 0.3300 0.5000

***

Stability check: which of them is least stable? version i.

***

Version i
A geometry-optimized CsScV3 structure, computed with PBE.

Properties
Space group: No. 221

a = 5.2046 Å, b = 5.2046 Å, c = 5.2046 Å
α = 90.00°, β = 90.00°, γ = 90.00°
Element x y z (fractional)
Cs 0.0000 0.0000 0.0000
Sc 0.5000 0.5000 0.5000
V 0.0000 0.5000 0.5000
V 0.5000 0.0000 0.5000
V 0.5000 0.5000 0.0000

***

Version ii
A geometry-optimized CsScV3 structure, computed with PBE.

Properties
Space group: No. 221

a = 4.7728 Å, b = 4.7728 Å, c = 4.7728 Å
α = 90.00°, β = 90.00°, γ = 90.00°
Element x y z (fractional)
Cs 0.0000 0.0000 0.0000
Sc 0.5000 0.5000 0.5000
V 0.0000 0.0000 0.5000
V 0.0000 0.5000 0.0000
V 0.5000 0.0000 0.0000

***

Stability check: which of them is least stable? version ii.

***

Version i
A geometry-optimized Cs2ScV structure, computed with PBE.

Properties
Space group: No. 225

a = 6.3361 Å, b = 6.3361 Å, c = 6.3361 Å
α = 60.00°, β = 60.00°, γ = 60.00°
Element x y z (fractional)
Cs 0.2500 0.2500 0.2500
Cs 0.7500 0.7500 0.7500
Sc 0.0000 0.0000 0.0000
V 0.5000 0.5000 0.5000

***

Version ii
A geometry-optimized Cs2ScV structure, computed with PBE.

Properties
Space group: No. 122

a = 10.2227 Å, b = 10.2227 Å, c = 10.2227 Å
α = 93.15°, β = 93.15°, γ = 152.90°
Element x y z (fractional)
Cs 0.3750 0.1977 0.3227
Cs 0.8023 0.1250 0.1773
Cs 0.8750 0.0523 0.6773
Cs 0.9477 0.6250 0.8227
Sc 0.2500 0.7500 0.5000
Sc 0.5000 0.5000 0.0000
V 0.0000 0.0000 0.0000
V 0.7500 0.2500 0.5000

***

Stability check: which of them is least stable? version i.